Compound: GaAgSCl2
Source: Alexandria via LeMat-Bulk
Functional: PBE
Structure: relaxed

N(E_F) ... 0.832 states/eV per atom
Formation energy (no corrections) ... -0.206 eV per atom
VASP energy ... -14.73 eV for the cell shown
Magnetic moment ... 0.00 μB/f.u.

Cell and atoms, written as CIF:
```
data_GaAgSCl2
_cell_length_a 4.894
_cell_length_b 4.894
_cell_length_c 4.718
_cell_angle_alpha 90.00
_cell_angle_beta 90.00
_cell_angle_gamma 90.00
_symmetry_space_group_name_H-M 'P 4/m m m'
_symmetry_Int_Tables_number 123
_symmetry_space_group_name_Hall '-P 4 2'
loop_
_atom_site_label
_atom_site_fract_x
_atom_site_fract_y
_atom_site_fract_z
Ga1 0.000 0.000 0.000
Ag1 0.500 0.500 0.500
S1 0.000 0.000 0.500
Cl1 0.000 0.500 0.000
```